(1)
DFT (GGA-PBE) results for a geometry-optimized CaYBr structure.

Cell and atoms, written as POSCAR:
```
CaYBr
1.0
-1.305 -3.217 3.905
4.091 3.209 0.515
-2.463 2.890 1.558
Br Y Ca
1 1 1
direct
0.000 0.000 0.831
0.333 0.667 0.834
0.667 0.333 0.335
```

Properties
- DOS(E_F): 3.83 states/eV/cell
- Energy above the most stable polymorph in this dataset: 390 meV/atom
- Spin magnetization: 0.0 μB/cell
- Space group: No. 156

(2)
DFT (GGA-PBE) results for a geometry-optimized CaYBr5 structure.

Cell and atoms, written as POSCAR:
```
CaYBr5
1.0
4.162 0.000 0.000
0.000 8.565 -0.575
0.000 -0.260 13.846
Br Ca Y
10 2 2
direct
0.750 0.916 0.687
0.250 0.676 0.518
0.250 0.863 0.074
0.750 0.653 0.860
0.250 0.084 0.313
0.750 0.324 0.482
0.250 0.347 0.140
0.750 0.137 0.926
0.250 0.388 0.703
0.750 0.612 0.297
0.750 0.088 0.136
0.250 0.912 0.864
0.750 0.586 0.652
0.250 0.414 0.348
```

Properties
- DOS(E_F): 0.00 states/eV/cell
- Spin magnetization: 0.0 μB/cell
- Space group: No. 11
- Final energy: -4.2905 eV/atom

(3)
DFT (GGA-PBE) results for a geometry-optimized Ca2ZnBr structure.

Cell and atoms, written as POSCAR:
```
Ca2ZnBr
1.0
0.218 -5.385 -0.630
-4.555 -2.941 0.199
-1.953 -2.284 -4.517
Ca Br Zn
2 1 1
direct
0.250 0.250 0.250
0.750 0.750 0.750
0.500 0.500 0.500
0.000 0.000 0.000
```

Properties
- DOS(E_F): 4.09 states/eV/cell
- Energy above the most stable polymorph in this dataset: 292 meV/atom
- Spin magnetization: 1.3 μB/cell
- Space group: No. 225

(4)
DFT (GGA-PBE) results for a geometry-optimized CaZn2Br structure.

Cell and atoms, written as POSCAR:
```
CaZn2Br
1.0
-0.304 4.971 7.114
-8.623 0.629 -0.808
-4.781 0.497 4.748
Zn Br Ca
4 2 2
direct
0.375 0.374 0.750
0.875 0.876 0.750
0.124 0.625 0.250
0.626 0.125 0.250
0.000 0.000 0.000
0.750 0.250 0.500
0.250 0.750 0.500
0.500 0.500 0.000
```

Properties
- DOS(E_F): 3.60 states/eV/cell
- Energy above the most stable polymorph in this dataset: 214 meV/atom
- Spin magnetization: 0.0 μB/cell
- Space group: No. 122

(5)
DFT (GGA-PBE) results for a geometry-optimized CaZn2Br structure.

Cell and atoms, written as POSCAR:
```
CaZn2Br
1.0
-4.888 0.944 -1.316
-2.394 -3.061 -3.379
-3.749 -3.153 1.588
Zn Br Ca
2 1 1
direct
0.000 0.000 0.000
0.250 0.250 0.250
0.500 0.500 0.500
0.750 0.750 0.750
```

Properties
- DOS(E_F): 4.73 states/eV/cell
- Energy above the most stable polymorph in this dataset: 307 meV/atom
- Spin magnetization: 0.0 μB/cell
- Space group: No. 216

(6)
DFT (GGA-PBE) results for a geometry-optimized Ca2ZnBr6 structure.

Cell and atoms, written as POSCAR:
```
Ca2ZnBr6
1.0
6.709 0.000 0.000
0.000 6.709 0.000
0.000 0.000 12.625
Ca Br Zn
4 12 2
direct
0.000 0.000 0.335
0.000 0.000 0.665
0.500 0.500 0.835
0.500 0.500 0.165
0.811 0.189 0.847
0.311 0.311 0.653
0.210 0.790 0.500
0.710 0.710 0.000
0.689 0.689 0.653
0.311 0.311 0.347
0.811 0.189 0.153
0.189 0.811 0.847
0.689 0.689 0.347
0.290 0.290 0.000
0.790 0.210 0.500
0.189 0.811 0.153
0.500 0.500 0.500
0.000 0.000 0.000
```

Properties
- DOS(E_F): 0.00 states/eV/cell
- Spin magnetization: 0.0 μB/cell
- Space group: No. 136
- Final energy: -3.2702 eV/atom